(1)
# PBE with a Hubbard U KNiN2F, optimized geometry
# M_tot in μB per formula unit: 3.680
# V in A^3/atom: 14.73
# VASP energy in eV/atom: -4.1285
data_KNiN2F
_chemical_formula_sum 'K1 Ni1 N2 F1'
_cell_length_a 3.639
_cell_length_b 3.639
_cell_length_c 5.562
_cell_angle_alpha 90.00
_cell_angle_beta 90.00
_cell_angle_gamma 90.00
_symmetry_space_group_name_H-M 'P 4/m m m'
_symmetry_Int_Tables_number 123
_symmetry_space_group_name_Hall '-P 4 2'
loop_
_atom_site_label
_atom_site_fract_x
_atom_site_fract_y
_atom_site_fract_z
_atom_site_occupancy
K1 0.000 0.000 0.000 1
Ni1 0.500 0.500 0.500 1
N1 0.000 0.500 0.500 1
F1 0.500 0.500 0.000 1


(2)
# PBE with a Hubbard U KNiN2F, optimized geometry
# M_tot in μB per formula unit: 6.000
# V in A^3/atom: 24.74
# VASP energy in eV/atom: -2.7169
data_KNiN2F
_chemical_formula_sum 'K1 Ni1 N2 F1'
_cell_length_a 5.143
_cell_length_b 5.143
_cell_length_c 4.677
_cell_angle_alpha 90.00
_cell_angle_beta 90.00
_cell_angle_gamma 90.00
_symmetry_space_group_name_H-M 'P 4/m m m'
_symmetry_Int_Tables_number 123
_symmetry_space_group_name_Hall '-P 4 2'
loop_
_atom_site_label
_atom_site_fract_x
_atom_site_fract_y
_atom_site_fract_z
_atom_site_occupancy
K1 0.000 0.000 0.000 1
Ni1 0.500 0.500 0.500 1
N1 0.000 0.500 0.000 1
F1 0.000 0.000 0.500 1